A plane-wave DFT calculation with PBE was carried out for Ca3P2Pd9Au after structural relaxation.

Cell: 7.2436 7.2436 6.7863 Å, 90.00 90.00 120.00°
Fractional positions:
Ca 0.0000 0.0000 0.0000
Ca 0.3333 0.6667 0.6778
Ca 0.6667 0.3333 0.3222
P 0.3333 0.6667 0.1333
P 0.6667 0.3333 0.8667
Pd 0.0000 0.5000 0.0000
Pd 0.1898 0.3796 0.3365
Pd 0.1898 0.8102 0.3365
Pd 0.3796 0.1898 0.6635
Pd 0.5000 0.0000 0.0000
Pd 0.5000 0.5000 0.0000
Pd 0.6204 0.8102 0.3365
Pd 0.8102 0.1898 0.6635
Pd 0.8102 0.6204 0.6635
Au 0.0000 0.0000 0.5000

Calculated values
Energy relative to the elements (eV/atom): -0.49

A plane-wave DFT calculation with PBE was carried out for Ca2PRhAu after structural relaxation.

Cell: 5.5149 5.5149 4.3303 Å, 90.00 90.00 90.00°
Fractional positions:
Ca 0.0000 0.5000 0.0000
Ca 0.5000 0.0000 0.0000
P 0.0000 0.0000 0.5000
Rh 0.0000 0.0000 0.0000
Au 0.5000 0.5000 0.5000

Calculated values
Energy relative to the elements (eV/atom): -0.59

A plane-wave DFT calculation with PBE was carried out for SrCaPAu after structural relaxation.

Cell: 5.2092 5.2092 5.2092 Å, 60.00 60.00 60.00°
Fractional positions:
Sr 0.0000 0.0000 0.0000
Ca 0.5000 0.5000 0.5000
P 0.7500 0.7500 0.7500
Au 0.2500 0.2500 0.2500

Calculated values
Energy relative to the elements (eV/atom): -0.89

A plane-wave DFT calculation with PBE was carried out for CaTaP2Au after structural relaxation.

Cell: 4.8662 4.8662 5.0560 Å, 90.00 90.00 90.00°
Fractional positions:
Ca 0.0000 0.0000 0.0000
Ta 0.5000 0.5000 0.0000
P 0.0000 0.5000 0.5000
P 0.5000 0.0000 0.5000
Au 0.0000 0.0000 0.5000

Calculated values
Energy relative to the elements (eV/atom): 1.11

A plane-wave DFT calculation with PBE was carried out for CaTc2PAu after structural relaxation.

Cell: 5.0138 5.0138 5.3792 Å, 90.00 90.00 90.00°
Fractional positions:
Ca 0.0000 0.0000 0.0000
Tc 0.0000 0.5000 0.5000
Tc 0.5000 0.0000 0.5000
P 0.5000 0.5000 0.0000
Au 0.0000 0.0000 0.5000

Calculated values
Energy relative to the elements (eV/atom): 1.47

A plane-wave DFT calculation with PBE was carried out for CaTcPAu2 after structural relaxation.

Cell: 4.7086 4.7086 5.2570 Å, 90.00 90.00 90.00°
Fractional positions:
Ca 0.0000 0.0000 0.0000
Tc 0.5000 0.5000 0.0000
P 0.0000 0.0000 0.5000
Au 0.0000 0.5000 0.5000
Au 0.5000 0.0000 0.5000

Calculated values
Energy relative to the elements (eV/atom): 0.61

A plane-wave DFT calculation with PBE was carried out for CaTi2PAu after structural relaxation.

Cell: 4.9618 4.9618 4.9287 Å, 90.00 90.00 90.00°
Fractional positions:
Ca 0.0000 0.0000 0.0000
Ti 0.0000 0.5000 0.0000
Ti 0.5000 0.0000 0.0000
P 0.5000 0.5000 0.5000
Au 0.0000 0.0000 0.5000

Calculated values
Energy relative to the elements (eV/atom): 1.69

A plane-wave DFT calculation with PBE was carried out for CaPaAu4 after structural relaxation.

Cell: 5.3212 5.3212 7.7103 Å, 110.95 110.95 40.74°
Fractional positions:
Ca 0.0000 0.0000 0.0000
Pa 0.0000 0.0000 0.5000
Au 0.3326 0.3326 0.1759
Au 0.3367 0.3367 0.6619
Au 0.6633 0.6633 0.3381
Au 0.6674 0.6674 0.8241

Calculated values
Energy relative to the elements (eV/atom): -0.53

A plane-wave DFT calculation with PBE was carried out for Ca2PaAu4 after structural relaxation.

Cell: 6.0641 6.0641 5.0671 Å, 90.00 90.00 103.31°
Fractional positions:
Ca 0.2046 0.7954 0.0000
Ca 0.7954 0.2046 0.0000
Pa 0.5000 0.5000 0.5000
Au 0.0000 0.5000 0.5000
Au 0.3041 0.3041 0.0000
Au 0.5000 0.0000 0.5000
Au 0.6959 0.6959 0.0000

Calculated values
Energy relative to the elements (eV/atom): -0.46

A plane-wave DFT calculation with PBE was carried out for CaPaAu4 after structural relaxation.

Cell: 5.6776 5.6776 5.6776 Å, 60.00 60.00 60.00°
Fractional positions:
Ca 0.0000 0.0000 0.0000
Pa 0.2500 0.2500 0.2500
Au 0.1241 0.6253 0.6253
Au 0.6253 0.1241 0.6253
Au 0.6253 0.6253 0.1241
Au 0.6253 0.6253 0.6253

Calculated values
Energy relative to the elements (eV/atom): -0.27

A plane-wave DFT calculation with PBE was carried out for CaPaAu after structural relaxation.

Cell: 5.7673 5.7673 7.3845 Å, 95.47 95.47 41.96°
Fractional positions:
Ca 0.0000 0.0000 0.0000
Ca 0.6836 0.6836 0.7259
Pa 0.3129 0.3129 0.2575
Pa 0.9329 0.9329 0.4487
Au 0.3884 0.3884 0.7333
Au 0.6156 0.6156 0.2964

Calculated values
Energy relative to the elements (eV/atom): -0.18

A plane-wave DFT calculation with PBE was carried out for CaPaPbAu after structural relaxation.

Cell: 5.3208 5.3208 5.3208 Å, 60.00 60.00 60.00°
Fractional positions:
Ca 0.0000 0.0000 0.0000
Pa 0.5000 0.5000 0.5000
Pb 0.7500 0.7500 0.7500
Au 0.2500 0.2500 0.2500

Calculated values
Energy relative to the elements (eV/atom): -0.21

Number 1: volume 20.56 Å³/atom, uncorrected energy -4.950 eV/atom, size of the total moment 0.0 μB/cell. Number 2: volume 26.34 Å³/atom, uncorrected energy -4.594 eV/atom, size of the total moment 0.0 μB/cell. Number 3: volume 24.99 Å³/atom, uncorrected energy -3.982 eV/atom, size of the total moment 0.0 μB/cell. Number 4: volume 23.94 Å³/atom, uncorrected energy -4.480 eV/atom, size of the total moment 2.3 μB/cell. Number 5: volume 27.04 Å³/atom, uncorrected energy -4.816 eV/atom, size of the total moment 6.7 μB/cell. Number 6: volume 23.31 Å³/atom, uncorrected energy -4.260 eV/atom, size of the total moment 3.7 μB/cell. Number 7: volume 24.27 Å³/atom, uncorrected energy -3.609 eV/atom, size of the total moment 2.8 μB/cell. Number 8: volume 21.95 Å³/atom, uncorrected energy -4.636 eV/atom, size of the total moment 0.2 μB/cell. Number 9: volume 25.90 Å³/atom, uncorrected energy -4.264 eV/atom, size of the total moment 0.4 μB/cell. Number 10: volume 21.57 Å³/atom, uncorrected energy -4.374 eV/atom, size of the total moment 0.9 μB/cell. Number 11: volume 27.23 Å³/atom, uncorrected energy -5.106 eV/atom, size of the total moment 0.0 μB/cell. Number 12: volume 26.63 Å³/atom, uncorrected energy -4.828 eV/atom, size of the total moment 1.6 μB/cell.